Entry 1:
Here is a geometry-optimized Sr2In12Cu structure from Alexandria. Energies are from PBE.

Output
Its space-group type is P4/nbm (125).

a = 6.8960 Å, b = 6.8960 Å, c = 17.6912 Å
α = 90.00°, β = 90.00°, γ = 90.00°
Closest atoms and distances in Å follow each position.
Fractional positions:
Sr  0.2500  0.7500  0.2448  14 In 3.63-3.85
Sr  0.2500  0.7500  0.7552  14 In 3.63-3.85
Sr  0.7500  0.2500  0.2448  14 In 3.63-3.85
Sr  0.7500  0.2500  0.7552  14 In 3.63-3.85
In  0.0001  0.9998  0.0831  2 Cu 2.85, 3 In 2.94-2.99
In  0.9998  0.0001  0.9169  2 Cu 2.85, 3 In 2.94-2.99
In  0.9998  0.4998  0.0831  2 Cu 2.85, 3 In 2.94-2.99
In  0.0001  0.5002  0.9169  2 Cu 2.85, 3 In 2.94-2.99
In  0.0827  0.5827  0.4301  4 In 2.95-3.26
In  0.0827  0.9173  0.5699  4 In 2.95-3.26
In  0.2500  0.2500  0.1813  5 In 2.84-2.99
In  0.2500  0.2500  0.3417  5 In 2.84-3.01
In  0.2500  0.2500  0.6583  5 In 2.84-3.01
In  0.2500  0.2500  0.8187  5 In 2.84-2.99
In  0.4173  0.5827  0.5699  4 In 2.95-3.26
In  0.4173  0.9173  0.4301  4 In 2.95-3.26
In  0.5002  0.0001  0.0831  2 Cu 2.85, 3 In 2.94-2.99
In  0.4998  0.9998  0.9169  2 Cu 2.85, 3 In 2.94-2.99
In  0.4998  0.5002  0.0831  2 Cu 2.85, 3 In 2.94-2.99
In  0.5002  0.4998  0.9169  2 Cu 2.85, 3 In 2.94-2.99
In  0.5827  0.0827  0.5699  4 In 2.95-3.26
In  0.5827  0.4173  0.4301  4 In 2.95-3.26
In  0.7500  0.7500  0.1813  5 In 2.84-2.99
In  0.7500  0.7500  0.3417  5 In 2.84-3.01
In  0.7500  0.7500  0.6583  5 In 2.84-3.01
In  0.7500  0.7500  0.8187  5 In 2.84-2.99
In  0.9173  0.0827  0.4301  4 In 2.95-3.26
In  0.9173  0.4173  0.5699  4 In 2.95-3.26
Cu  0.2500  0.7500  0.0000  8 In 2.85
Cu  0.7500  0.2500  0.0000  8 In 2.85

---

Entry 2:
Here is a geometry-optimized Rb5Hg12Au3 structure from Alexandria. Energies are from PBE.

Output
Its space-group type is Ia-3d (230).

a = 16.7202 Å, b = 16.7202 Å, c = 16.7202 Å
α = 109.47°, β = 109.47°, γ = 109.47°
Closest atoms and distances in Å follow each position.
Fractional positions:
Rb  0.0000  0.0000  0.0000  6 Hg 3.44
Rb  0.0000  0.0000  0.5000  6 Hg 3.44
Rb  0.0000  0.5000  0.0000  6 Hg 3.44
Rb  0.0000  0.5000  0.5000  6 Hg 3.44
Rb  0.1250  0.7500  0.8750  4 Hg 3.67
Rb  0.1250  0.8750  0.2500  4 Hg 3.67
Rb  0.2500  0.1250  0.8750  4 Hg 3.67
Rb  0.2500  0.6250  0.3750  4 Hg 3.67
Rb  0.3750  0.2500  0.6250  4 Hg 3.67
Rb  0.3750  0.6250  0.7500  4 Hg 3.67
Rb  0.5000  0.0000  0.0000  6 Hg 3.44
Rb  0.5000  0.0000  0.5000  6 Hg 3.44
Rb  0.5000  0.5000  0.0000  6 Hg 3.44
Rb  0.5000  0.5000  0.5000  6 Hg 3.44
Rb  0.6250  0.3750  0.2500  4 Hg 3.67
Rb  0.6250  0.7500  0.3750  4 Hg 3.67
Rb  0.7500  0.3750  0.6250  4 Hg 3.67
Rb  0.7500  0.8750  0.1250  4 Hg 3.67
Rb  0.8750  0.1250  0.7500  4 Hg 3.67
Rb  0.8750  0.2500  0.1250  4 Hg 3.67
Hg  0.0433  0.6419  0.3941  1 Au 2.88, 1 Hg 3.08
Hg  0.0433  0.9014  0.6492  1 Au 2.88, 1 Hg 3.08
Hg  0.0986  0.2478  0.1419  1 Au 2.88, 1 Hg 3.08
Hg  0.0986  0.3508  0.9567  1 Au 2.88, 1 Hg 3.08
Hg  0.1059  0.7478  0.6492  1 Au 2.88, 1 Hg 3.08
Hg  0.1059  0.8581  0.4567  1 Au 2.88, 1 Hg 3.08
Hg  0.1419  0.0986  0.2478  1 Au 2.88, 1 Hg 3.08
Hg  0.1419  0.5433  0.8941  1 Au 2.88, 1 Hg 3.08
Hg  0.1492  0.2478  0.6059  1 Au 2.88, 1 Hg 3.08
Hg  0.1492  0.4014  0.5433  1 Au 2.88, 1 Hg 3.08
Hg  0.2478  0.1419  0.0986  1 Au 2.88, 1 Hg 3.08
Hg  0.2478  0.6059  0.1492  1 Au 2.88, 1 Hg 3.08
Hg  0.2522  0.3508  0.8941  1 Au 2.88, 1 Hg 3.08
Hg  0.2522  0.4014  0.3581  1 Au 2.88, 1 Hg 3.08
Hg  0.3508  0.8941  0.2522  1 Au 2.88, 1 Hg 3.08
Hg  0.3508  0.9567  0.0986  1 Au 2.88, 1 Hg 3.08
Hg  0.3581  0.2522  0.4014  1 Au 2.88, 1 Hg 3.08
Hg  0.3581  0.6059  0.9567  1 Au 2.88, 1 Hg 3.08
Hg  0.3941  0.0433  0.6419  1 Au 2.88, 1 Hg 3.08
Hg  0.3941  0.8508  0.7522  1 Au 2.88, 1 Hg 3.08
Hg  0.4014  0.3581  0.2522  1 Au 2.88, 1 Hg 3.08
Hg  0.4014  0.5433  0.1492  1 Au 2.88, 1 Hg 3.08
Hg  0.4567  0.1059  0.8581  1 Au 2.88, 1 Hg 3.08
Hg  0.4567  0.8508  0.5986  1 Au 2.88, 1 Hg 3.08
Hg  0.5433  0.1492  0.4014  1 Au 2.88, 1 Hg 3.08
Hg  0.5433  0.8941  0.1419  1 Au 2.88, 1 Hg 3.08
Hg  0.5986  0.4567  0.8508  1 Au 2.88, 1 Hg 3.08
Hg  0.5986  0.6419  0.7478  1 Au 2.88, 1 Hg 3.08
Hg  0.6059  0.1492  0.2478  1 Au 2.88, 1 Hg 3.08
Hg  0.6059  0.9567  0.3581  1 Au 2.88, 1 Hg 3.08
Hg  0.6419  0.3941  0.0433  1 Au 2.88, 1 Hg 3.08
Hg  0.6419  0.7478  0.5986  1 Au 2.88, 1 Hg 3.08
Hg  0.6492  0.0433  0.9014  1 Au 2.88, 1 Hg 3.08
Hg  0.6492  0.1059  0.7478  1 Au 2.88, 1 Hg 3.08
Hg  0.7478  0.5986  0.6419  1 Au 2.88, 1 Hg 3.08
Hg  0.7478  0.6492  0.1059  1 Au 2.88, 1 Hg 3.08
Hg  0.7522  0.3941  0.8508  1 Au 2.88, 1 Hg 3.08
Hg  0.7522  0.8581  0.9014  1 Au 2.88, 1 Hg 3.08
Hg  0.8508  0.5986  0.4567  1 Au 2.88, 1 Hg 3.08
Hg  0.8508  0.7522  0.3941  1 Au 2.88, 1 Hg 3.08
Hg  0.8581  0.4567  0.1059  1 Au 2.88, 1 Hg 3.08
Hg  0.8581  0.9014  0.7522  1 Au 2.88, 1 Hg 3.08
Hg  0.8941  0.1419  0.5433  1 Au 2.88, 1 Hg 3.08
Hg  0.8941  0.2522  0.3508  1 Au 2.88, 1 Hg 3.08
Hg  0.9014  0.6492  0.0433  1 Au 2.88, 1 Hg 3.08
Hg  0.9014  0.7522  0.8581  1 Au 2.88, 1 Hg 3.08
Hg  0.9567  0.0986  0.3508  1 Au 2.88, 1 Hg 3.08
Hg  0.9567  0.3581  0.6059  1 Au 2.88, 1 Hg 3.08
Au  0.1250  0.2500  0.3750  4 Hg 2.88
Au  0.1250  0.3750  0.7500  4 Hg 2.88
Au  0.2500  0.3750  0.1250  4 Hg 2.88
Au  0.2500  0.8750  0.6250  4 Hg 2.88
Au  0.3750  0.1250  0.2500  4 Hg 2.88
Au  0.3750  0.7500  0.1250  4 Hg 2.88
Au  0.6250  0.2500  0.8750  4 Hg 2.88
Au  0.6250  0.8750  0.7500  4 Hg 2.88
Au  0.7500  0.1250  0.3750  4 Hg 2.88
Au  0.7500  0.6250  0.8750  4 Hg 2.88
Au  0.8750  0.6250  0.2500  4 Hg 2.88
Au  0.8750  0.7500  0.6250  4 Hg 2.88

---

| no. | calculated volume (Å³ per cell) | E_form (eV per atom) | E (eV/atom) |
| --- | --- | --- | --- |
| 1 | 841.3 | -0.174 | -2.86 |
| 2 | 3598.4 | -0.077 | -0.99 |